A plane-wave DFT calculation with GGA-PBE was carried out for a geometry-optimized RbHSeO4 structure. Values from VASP.

DOS at the Fermi energy: 0.00 states/eV/cell
Crystal system: triclinic
Uncorrected energy: -106.3 eV/cell
Size of the total moment: 0.1 Bohr magnetons per cell

```
&SYSTEM
  ibrav = 0, nat = 21, ntyp = 4
/
ATOMIC_SPECIES
O 16.00 O.upf
Se 78.96 Se.upf
Rb 85.47 Rb.upf
H 1.01 H.upf
CELL_PARAMETERS angstrom
-2.818 2.732 -2.591
-2.090 -6.132 -4.335
-5.113 -0.103 9.592
ATOMIC_POSITIONS crystal
O 0.467 0.903 0.388
O 0.531 0.514 0.612
O 0.536 0.556 0.211
O 0.956 0.188 0.130
O 0.708 0.849 0.940
Se 0.990 0.007 0.997
Rb 0.581 0.248 0.329
O 0.470 0.342 0.789
H 0.453 0.886 0.007
Rb 0.420 0.917 0.670
Se 0.302 0.405 0.664
O 0.905 0.702 0.465
O 0.099 0.238 0.536
O 0.075 0.576 0.737
O 0.285 0.896 0.058
Rb 0.998 0.496 0.001
H 0.861 0.542 0.684
H 0.138 0.860 0.317
O 0.061 0.063 0.873
Se 0.700 0.743 0.336
O 0.925 0.841 0.263
```